[1]
Compound: DyCd2Ag9
Source: Alexandria via LeMat-Bulk
Functional: PBE-GGA
Structure: optimized geometry

Properties
Crystal system: trigonal
Total DFT energy (no corrections) (eV per atom): -2.695

POSCAR file:
```
DyCd2Ag9
1.0
-3.783 2.691 3.099
-0.625 -1.301 5.392
4.768 6.675 5.052
Dy Ag Cd
1 9 2
direct
0.000 0.000 0.000 Dy
0.413 0.919 0.256 Ag
0.081 0.587 0.744 Ag
0.334 0.334 0.999 Ag
0.587 0.081 0.744 Ag
0.919 0.413 0.256 Ag
0.587 0.587 0.744 Ag
0.500 0.500 0.500 Ag
0.413 0.413 0.256 Ag
0.666 0.666 0.001 Ag
0.857 0.857 0.428 Cd
0.143 0.143 0.572 Cd
```


[2]
Compound: LiIrRu
Source: Alexandria via LeMat-Bulk
Functional: PBE-GGA
Structure: optimized geometry

Properties
Crystal system: hexagonal
Relative energy among the computed polymorphs (eV/atom): 0.2382

POSCAR file:
```
LiIrRu
1.0
-0.146 3.423 6.500
0.802 -4.370 2.319
4.186 0.639 -0.242
Ru Ir Li
4 4 4
direct
0.500 0.000 0.500 Ru
0.000 0.500 0.000 Ru
0.000 0.000 0.000 Ru
0.500 0.500 0.500 Ru
0.667 0.750 0.000 Ir
0.167 0.750 0.500 Ir
0.833 0.250 0.500 Ir
0.333 0.250 0.000 Ir
0.667 0.250 0.000 Li
0.833 0.750 0.500 Li
0.333 0.750 0.000 Li
0.167 0.250 0.500 Li
```